A plane-wave DFT calculation with PBE was carried out for ScTlCdPb after structural relaxation.

The calculation puts the total energy at -3.33 eV per atom. As for the offset from the most stable computed form: 163 meV/atom. The formation energy is 2 meV per atom. Its volume is 25.82 A^3/atom.

The space group is F-43m (No. 216) and the conventional cell measures 7.4480, 7.4480 and 7.4480 Å, with angles of 90.00, 90.00 and 90.00 degrees. Symmetry generates all atoms from Sc at (0.0000, 0.0000, 0.0000), Tl at (0.2500, 0.2500, 0.2500), Cd at (0.0000, 0.0000, 0.5000) and Pb at (0.2500, 0.2500, 0.7500).